Computed, not measured: GeH2I after structural relaxation at the GGA-PBE level of DFT.

Crystal system: cubic
E above lowest polymorph, eV/atom: 0.716

Unit cell a=6.1646 b=6.1646 c=6.1646 alpha=90.00 beta=90.00 gamma=90.00
Last column: nearest neighbours and their distance in Å.
Space group Fm-3m (No. 225)
Asymmetric unit:
Ge  0.0000  0.0000  0.0000 x4  8 H 2.67
H  0.2500  0.2500  0.2500 x8  4 Ge 2.67, 4 I 2.67
I  0.0000  0.0000  0.5000 x4  8 H 2.67

Computed, not measured: ScVIr2N after structural relaxation at the GGA-PBE level of DFT.

Energy relative to the elements, uncorrected, kJ per mole of atoms: 36.0
Crystal system: tetragonal

Unit cell a=4.7311 b=4.7311 c=3.6691 alpha=90.00 beta=90.00 gamma=90.00
Last column: nearest neighbours and their distance in Å.
Space group P4/mmm (No. 123)
Asymmetric unit:
Sc  0.0000  0.0000  0.0000 x1  8 Ir 2.99, 4 N 3.35
V  0.5000  0.5000  0.5000 x1  2 N 1.83
Ir  0.0000  0.5000  0.5000 x2  2 V 2.37
N  0.5000  0.5000  0.0000 x1  2 V 1.83

Computed, not measured: Tb3SnRu after structural relaxation at the GGA-PBE level of DFT.

Crystal system: orthorhombic
E above lowest polymorph, eV/atom: 0.198
Energy of formation, eV per atom: -0.300

Unit cell a=5.9283 b=10.6446 c=8.1844 alpha=90.00 beta=90.00 gamma=90.00
Last column: nearest neighbours and their distance in Å.
Space group Pnma (No. 62)
Asymmetric unit:
Tb  0.0006  0.1018  0.1389 x8  1 Ru 2.73
Tb  0.2357  0.2500  0.7232 x4  1 Ru 2.79, 2 Tb 3.00
Sn  0.0000  0.0000  0.5000 x4  2 Ru 2.79
Ru  0.0576  0.2500  0.4080 x4  3 Tb 2.73-2.79, 2 Sn 2.79

Computed, not measured: Zn2SiIr after structural relaxation at the GGA-PBE level of DFT.

Energy relative to the elements, uncorrected, kJ per mole of atoms: -16.0
Crystal system: orthorhombic

Unit cell a=5.2008 b=5.2498 c=8.1084 alpha=90.00 beta=90.00 gamma=90.00
Last column: nearest neighbours and their distance in Å.
Space group Fmmm (No. 69)
Asymmetric unit:
Zn  0.2500  0.2500  0.2500 x8  4 Zn 2.60-2.62, 4 Ir 2.74, 4 Si 2.74
Si  0.0000  0.0000  0.0000 x4  4 Ir 2.60-2.62, 8 Zn 2.74
Ir  0.0000  0.0000  0.5000 x4  4 Si 2.60-2.62, 8 Zn 2.74

Computed, not measured: CrTcBr2 after structural relaxation at the GGA-PBE level of DFT.

Energy relative to the elements, uncorrected, kJ per mole of atoms: 75.2
Crystal system: monoclinic
E above lowest polymorph, eV/atom: 0.717

Unit cell a=6.4965 b=8.4807 c=3.3796 alpha=90.00 beta=113.61 gamma=90.00
Last column: nearest neighbours and their distance in Å.
Space group C2/m (No. 12)
Asymmetric unit:
Cr  0.0000  0.0000  0.0000 x2  4 Br 2.67
Tc  0.0000  0.5000  0.0000 x2  4 Br 2.67
Br  0.2500  0.2500  0.0000 x4  2 Cr 2.67, 2 Tc 2.67

Computed, not measured: BaRe2Cl after structural relaxation at the GGA-PBE level of DFT.

Energy relative to the elements, uncorrected, kJ per mole of atoms: 122.3
Crystal system: orthorhombic
E above lowest polymorph, eV/atom: 1.155

Unit cell a=5.2863 b=12.6558 c=2.8919 alpha=90.00 beta=90.00 gamma=90.00
Last column: nearest neighbours and their distance in Å.
Space group Cmmm (No. 65)
Asymmetric unit:
Ba  0.0000  0.0000  0.0000 x2  2 Cl 2.64, 2 Ba 2.89
Re  0.2500  0.2500  0.5000 x4  4 Re 2.64-2.89
Cl  0.0000  0.5000  0.0000 x2  2 Ba 2.64, 2 Cl 2.89

Computed, not measured: TiCrAu2 after structural relaxation at the GGA-PBE level of DFT.

Crystal system: tetragonal
E above lowest polymorph, eV/atom: 0.422
Energy of formation, eV per atom: 0.321

Unit cell a=3.8866 b=3.8866 c=19.1159 alpha=90.00 beta=90.00 gamma=90.00
Last column: nearest neighbours and their distance in Å.
Space group I-42d (No. 122)
Asymmetric unit:
Ti  0.0000  0.0000  0.0000 x4  4 Cr 2.75, 4 Au 2.76
Cr  0.0000  0.0000  0.5000 x4  4 Ti 2.75, 4 Au 2.75
Au  0.2460  0.2500  0.6250 x8  4 Au 2.73-2.77, 2 Cr 2.75, 2 Ti 2.76

Computed, not measured: Pr2Ga12Ru after structural relaxation at the GGA-PBE level of DFT.

Crystal system: tetragonal
Energy of formation, eV per atom: -0.393

Unit cell a=6.1175 b=6.1175 c=15.7966 alpha=90.00 beta=90.00 gamma=90.00
Last column: nearest neighbours and their distance in Å.
Space group P4/nbm (No. 125, origin choice 2)
Asymmetric unit:
Pr  0.2500  0.7500  0.2401 x4  14 Ga 3.16-3.49
Ga  0.0000  0.0000  0.0857 x8  2 Ru 2.55, 3 Ga 2.71-2.72
Ga  0.0822  0.5822  0.4320 x8  3 Ga 2.58-2.64
Ga  0.2500  0.2500  0.1903 x4  5 Ga 2.48-2.72
Ga  0.2500  0.2500  0.3471 x4  5 Ga 2.48-2.64
Ru  0.2500  0.7500  0.0000 x2  8 Ga 2.55

Computed, not measured: TlWCl after structural relaxation at the GGA-PBE level of DFT.

Energy relative to the elements, uncorrected, kJ per mole of atoms: 85.1
Crystal system: orthorhombic
E above lowest polymorph, eV/atom: 0.494

Unit cell a=2.8985 b=3.8956 c=10.7635 alpha=90.00 beta=90.00 gamma=90.00
Last column: nearest neighbours and their distance in Å.
Space group Imm2 (No. 44)
Asymmetric unit:
Tl  0.0000  0.0000  0.0000 x2  2 Tl 2.90, 1 Cl 3.06, 1 W 3.13
W  0.0000  0.0000  0.7094 x2  4 Cl 2.56
Cl  0.0000  0.0000  0.2845 x2  4 W 2.56

Computed, not measured: Tb3ZnCu after structural relaxation at the GGA-PBE level of DFT.

Crystal system: orthorhombic
E above lowest polymorph, eV/atom: 0.000
Energy of formation, eV per atom: -0.212

Unit cell a=5.0202 b=19.1841 c=5.0186 alpha=90.00 beta=90.00 gamma=90.00
Last column: nearest neighbours and their distance in Å.
Space group Cmcm (No. 63)
Asymmetric unit:
Tb  0.0000  0.0675  0.2500 x4  2 Zn 3.05, 2 Cu 3.10
Tb  0.0000  0.2492  0.2500 x4  4 Cu 3.02-3.03, 4 Zn 3.06-3.08
Tb  0.0000  0.4305  0.2500 x4  2 Zn 3.03, 2 Cu 3.07
Zn  0.0000  0.1577  0.7500 x4  8 Tb 3.03-3.08
Cu  0.0000  0.3379  0.7500 x4  8 Tb 3.02-3.10

Computed, not measured: Ba5AlI5 after structural relaxation at the GGA-PBE level of DFT.

Energy relative to the elements, uncorrected, kJ per mole of atoms: -121.1
Crystal system: monoclinic

Unit cell a=16.4919 b=7.0403 c=10.1854 alpha=90.00 beta=108.72 gamma=90.00
Last column: nearest neighbours and their distance in Å.
Space group C2/m (No. 12)
Asymmetric unit:
Ba  0.0000  0.0000  0.0000 x2  2 Al 3.52, 4 I 3.75-3.81
Ba  0.1474  0.5000  0.8406 x4  1 Al 3.33, 5 I 3.54-3.69
Ba  0.1509  0.5000  0.3097 x4  1 Al 3.33, 4 I 3.57-3.65
Al  0.0000  0.5000  0.0000 x2  6 Ba 3.33-3.52
I  0.0000  0.5000  0.5000 x2  4 Ba 3.54-3.61
I  0.1751  0.0000  0.8396 x4  5 Ba 3.55-3.75
I  0.1887  0.0000  0.3351 x4  5 Ba 3.57-3.81

Computed, not measured: TlCrH2 after structural relaxation at the GGA-PBE level of DFT.

Crystal system: cubic
E above lowest polymorph, eV/atom: 0.567

Unit cell a=5.9737 b=5.9737 c=5.9737 alpha=90.00 beta=90.00 gamma=90.00
Last column: nearest neighbours and their distance in Å.
Space group Fm-3m (No. 225)
Asymmetric unit:
Tl  0.0000  0.0000  0.0000 x4  8 H 2.59
Cr  0.0000  0.0000  0.5000 x4  8 H 2.59
H  0.2500  0.2500  0.2500 x8  4 Cr 2.59, 4 Tl 2.59

Computed, not measured: CsRb3Hg4Cl12 after structural relaxation at the GGA-PBE level of DFT.

Energy relative to the elements, uncorrected, kJ per mole of atoms: -109.6
Crystal system: trigonal

Unit cell a=15.9368 b=15.9368 c=12.3880 alpha=90.00 beta=90.00 gamma=120.00
Last column: nearest neighbours and their distance in Å.
Space group R32 (No. 155, hexagonal axes)
Asymmetric unit:
Cs  0.0000  0.0000  0.0000 x3  6 Cl 3.62
Rb  0.0000  0.5372  0.0000 x9  6 Cl 3.29-3.33
Hg  0.0000  0.0000  0.5000 x3  3 Cl 2.44
Hg  0.0000  0.4595  0.5000 x9  3 Cl 2.44-2.46
Cl  0.0000  0.6138  0.5000 x9  1 Hg 2.46
Cl  0.0000  0.8469  0.5000 x9  1 Hg 2.44
Cl  0.0215  0.1966  0.1669 x18  1 Hg 2.44

Computed, not measured: Mn2CrPb after structural relaxation at the GGA-PBE level of DFT.

Crystal system: tetragonal
Energy of formation, eV per atom: 0.424

Unit cell a=3.1677 b=3.1677 c=6.9327 alpha=90.00 beta=90.00 gamma=90.00
Last column: nearest neighbours and their distance in Å.
Space group P4mm (No. 99)
Asymmetric unit:
Mn  0.0000  0.0000  0.0000 x1  4 Cr 2.60, 4 Mn 2.66
Mn  0.5000  0.5000  0.2062 x1  4 Mn 2.66, 1 Cr 2.75
Cr  0.5000  0.5000  0.8096 x1  5 Mn 2.60-2.75
Pb  0.0000  0.0000  0.5001 x1  4 Mn 3.03, 4 Cr 3.10, 4 Pb 3.17

Computed, not measured: La3Sm4Pd4 after structural relaxation at the GGA-PBE level of DFT.

Crystal system: orthorhombic
Energy of formation, eV per atom: -0.543

Unit cell a=4.9072 b=7.7072 c=15.9260 alpha=90.00 beta=90.00 gamma=90.00
Last column: nearest neighbours and their distance in Å.
Space group Immm (No. 71)
Asymmetric unit:
La  0.0000  0.0000  0.0000 x2  6 Pd 3.20-3.44
La  0.0000  0.5000  0.0987 x4  1 La 3.14, 4 Pd 3.25, 4 Sm 3.46
Sm  0.0000  0.2786  0.3283 x8  4 Pd 2.83-3.02
Pd  0.0000  0.0000  0.2008 x4  6 Sm 2.96-3.02, 1 La 3.20
Pd  0.0000  0.1863  0.5000 x4  2 Sm 2.83, 1 Pd 2.87

Computed, not measured: NaSr2ErSe4 after structural relaxation at the GGA-PBE level of DFT.

Energy relative to the elements, uncorrected, kJ per mole of atoms: -176.6
Crystal system: monoclinic

Unit cell a=7.3774 b=4.3000 c=7.4638 alpha=90.00 beta=108.64 gamma=90.00
Last column: nearest neighbours and their distance in Å.
Space group P2/m (No. 10)
Asymmetric unit:
Na  0.0000  0.0000  0.0000 x1  6 Se 2.98-3.04
Sr  0.5000  0.0000  0.5000 x1  6 Se 3.06-3.07
Sr  0.5000  0.5000  0.0000 x1  6 Se 3.17
Er  0.0000  0.5000  0.5000 x1  6 Se 2.86-2.93
Se  0.2272  0.0000  0.7341 x2  2 Er 2.93, 1 Na 2.98, 3 Sr 3.06-3.17
Se  0.2350  0.5000  0.2601 x2  1 Er 2.86, 2 Na 3.04, 3 Sr 3.07-3.17

Computed, not measured: Li2SmUTe4 after structural relaxation at the GGA-PBE level of DFT.

Energy relative to the elements, uncorrected, kJ per mole of atoms: -98.0
Crystal system: monoclinic

Unit cell a=7.5454 b=4.3672 c=7.5734 alpha=90.00 beta=109.57 gamma=90.00
Last column: nearest neighbours and their distance in Å.
Space group P2/m (No. 10)
Asymmetric unit:
Li  0.0000  0.0000  0.0000 x1  6 Te 3.03-3.04
Li  0.0000  0.5000  0.5000 x1  6 Te 3.05-3.06
Sm  0.5000  0.0000  0.5000 x1  6 Te 3.14
U  0.5000  0.5000  0.0000 x1  6 Te 3.12
Te  0.2387  0.5000  0.2438 x2  3 Li 3.03-3.06, 1 U 3.12, 2 Sm 3.14
Te  0.2398  0.0000  0.7484 x2  3 Li 3.04-3.05, 2 U 3.12, 1 Sm 3.14

Computed, not measured: Rb2BaDyF8 after structural relaxation at the GGA-PBE level of DFT.

Energy relative to the elements, uncorrected, kJ per mole of atoms: -314.5
Crystal system: tetragonal

Unit cell a=6.2752 b=6.2752 c=11.8943 alpha=90.00 beta=90.00 gamma=90.00
Last column: nearest neighbours and their distance in Å.
Space group I-4m2 (No. 119)
Asymmetric unit:
Rb  0.0000  0.0000  0.0000 x2  8 F 2.84
Rb  0.0000  0.5000  0.2500 x2  8 F 2.89
Ba  0.0000  0.0000  0.5000 x2  8 F 2.71
Dy  0.0000  0.5000  0.7500 x2  8 F 2.32
F  0.2033  0.2789  0.6369 x16  1 Dy 2.32, 1 F 2.55

Computed, not measured: DyYCu2 after structural relaxation at the GGA-PBE level of DFT.

Crystal system: cubic
E above lowest polymorph, eV/atom: 0.010
Energy of formation, eV per atom: -0.245

Unit cell a=6.9539 b=6.9539 c=6.9539 alpha=90.00 beta=90.00 gamma=90.00
Last column: nearest neighbours and their distance in Å.
Space group Fm-3m (No. 225)
Asymmetric unit:
Dy  0.0000  0.0000  0.0000 x4  8 Cu 3.01
Y  0.0000  0.0000  0.5000 x4  8 Cu 3.01
Cu  0.2500  0.2500  0.2500 x8  4 Dy 3.01, 4 Y 3.01

Computed, not measured: MgCd2Ni after structural relaxation at the GGA-PBE level of DFT.

Crystal system: cubic
Energy of formation, eV per atom: 0.000

Unit cell a=6.5820 b=6.5820 c=6.5820 alpha=90.00 beta=90.00 gamma=90.00
Last column: nearest neighbours and their distance in Å.
Space group F-43m (No. 216)
Asymmetric unit:
Mg  0.0000  0.0000  0.0000 x4  4 Cd 2.85, 4 Ni 2.85
Cd  0.0000  0.0000  0.5000 x4  4 Cd 2.85, 4 Ni 2.85
Cd  0.2500  0.2500  0.7500 x4  4 Cd 2.85, 4 Mg 2.85
Ni  0.2500  0.2500  0.2500 x4  4 Cd 2.85, 4 Mg 2.85